Density functional theory data (PBE) for crystalline Pm3Nd3Dy at its relaxed geometry.

Cell: 9.7757 9.7757 5.8651 Å, 90.00 90.00 120.00°
Element x y z (fractional)
Pm 0.0462 0.8076 0.2500
Pm 0.1924 0.2386 0.2500
Pm 0.2386 0.0462 0.7500
Pm 0.7614 0.9538 0.2500
Pm 0.8076 0.7614 0.7500
Pm 0.9538 0.1924 0.7500
Nd 0.0950 0.6194 0.7500
Nd 0.3806 0.4756 0.7500
Nd 0.4756 0.0950 0.2500
Nd 0.5244 0.9050 0.7500
Nd 0.6194 0.5244 0.2500
Nd 0.9050 0.3806 0.2500
Dy 0.3333 0.6667 0.2500
Dy 0.6667 0.3333 0.7500

Properties
V = 34.7 A^3/atom
Magnetic moment = 0.000 μB per formula unit
Space group = P6_3/m (176)
Energy of formation = 26 meV/atom
Energy above the lowest structure with this stoichiometry = 0.000 eV/atom